<1>
Material: Nb3VGe
Method: DFT, PBE-GGA
State: relaxed

Values from the calculation:
Size of the total moment (μB per formula unit): 0.00
ρ (Mg/m³): 6.72

```
data_Nb3VGe
_chemical_formula_sum 'Nb3 V1 Ge1'
_space_group_name_H-M_alt 'P 1'
_space_group_IT_number 1
_space_group_name_Hall 'P 1'
_cell_length_a 4.632
_cell_length_b 4.632
_cell_length_c 4.632
_cell_angle_alpha 90.00
_cell_angle_beta 90.00
_cell_angle_gamma 90.00
loop_
_atom_site_label
_atom_site_type_symbol
_atom_site_fract_x
_atom_site_fract_y
_atom_site_fract_z
Ge1 Ge 0.500 0.500 0.500
Nb1 Nb 0.500 0.000 0.000
Nb2 Nb 0.000 0.000 0.500
Nb3 Nb 0.000 0.500 0.000
V1 V 0.000 0.000 0.000
```


<2>
Material: Nb3VGe
Method: DFT, PBE-GGA
State: relaxed

Values from the calculation:
Size of the total moment (μB per formula unit): 2.22
ρ (Mg/m³): 6.22

```
data_Nb3VGe
_chemical_formula_sum 'Nb3 V1 Ge1'
_space_group_name_H-M_alt 'P 1'
_space_group_IT_number 1
_space_group_name_Hall 'P 1'
_cell_length_a 4.753
_cell_length_b 4.753
_cell_length_c 4.753
_cell_angle_alpha 90.00
_cell_angle_beta 90.00
_cell_angle_gamma 90.00
loop_
_atom_site_label
_atom_site_type_symbol
_atom_site_fract_x
_atom_site_fract_y
_atom_site_fract_z
Nb1 Nb 0.000 0.500 0.000
Nb2 Nb 0.000 0.000 0.500
Ge1 Ge 0.000 0.000 0.000
V1 V 0.500 0.500 0.500
Nb3 Nb 0.500 0.000 0.000
```


Which structure loses on stability? <2> does.


<1>
Material: NbGeW
Method: DFT, PBE-GGA
State: relaxed

Values from the calculation:
Size of the total moment (μB per formula unit): 0.00
ρ (Mg/m³): 11.42

```
data_NbGeW
_chemical_formula_sum 'Nb2 Ge2 W2'
_space_group_name_H-M_alt 'P 1'
_space_group_IT_number 1
_space_group_name_Hall 'P 1'
_cell_length_a 2.826
_cell_length_b 3.151
_cell_length_c 12.761
_cell_angle_alpha 90.00
_cell_angle_beta 90.00
_cell_angle_gamma 116.65
loop_
_atom_site_label
_atom_site_type_symbol
_atom_site_fract_x
_atom_site_fract_y
_atom_site_fract_z
Nb1 Nb 0.601 0.202 0.321
W1 W 0.325 0.650 0.500
Ge1 Ge 0.277 0.555 0.845
Nb2 Nb 0.601 0.202 0.679
Ge2 Ge 0.277 0.555 0.155
W2 W 0.585 0.170 0.000
```


<2>
Material: NbGeW
Method: DFT, PBE-GGA
State: relaxed

Values from the calculation:
Size of the total moment (μB per formula unit): 0.00
ρ (Mg/m³): 11.43

```
data_NbGeW
_chemical_formula_sum 'Nb1 Ge1 W1'
_space_group_name_H-M_alt 'P 1'
_space_group_IT_number 1
_space_group_name_Hall 'P 1'
_cell_length_a 2.776
_cell_length_b 4.595
_cell_length_c 4.595
_cell_angle_alpha 120.00
_cell_angle_beta 90.00
_cell_angle_gamma 90.00
loop_
_atom_site_label
_atom_site_type_symbol
_atom_site_fract_x
_atom_site_fract_y
_atom_site_fract_z
Nb1 Nb 0.603 0.333 0.667
W1 W 0.203 0.000 0.000
Ge1 Ge 0.194 0.667 0.333
```


Which structure loses on stability? <1> does.


<1>
Material: YNb3Ge
Method: DFT, PBE-GGA
State: relaxed

Values from the calculation:
Size of the total moment (μB per formula unit): 0.00
ρ (Mg/m³): 6.29

```
data_YNb3Ge
_chemical_formula_sum 'Y1 Nb3 Ge1'
_space_group_name_H-M_alt 'P 1'
_space_group_IT_number 1
_space_group_name_Hall 'P 1'
_cell_length_a 4.880
_cell_length_b 4.880
_cell_length_c 4.880
_cell_angle_alpha 90.00
_cell_angle_beta 90.00
_cell_angle_gamma 90.00
loop_
_atom_site_label
_atom_site_type_symbol
_atom_site_fract_x
_atom_site_fract_y
_atom_site_fract_z
Ge1 Ge 0.000 0.000 0.000
Y1 Y 0.500 0.500 0.500
Nb1 Nb 0.000 0.500 0.000
Nb2 Nb 0.000 0.000 0.500
Nb3 Nb 0.500 0.000 0.000
```


<2>
Material: YNb3Ge
Method: DFT, PBE-GGA
State: relaxed

Values from the calculation:
Size of the total moment (μB per formula unit): 0.00
ρ (Mg/m³): 6.07

```
data_YNb3Ge
_chemical_formula_sum 'Y1 Nb3 Ge1'
_space_group_name_H-M_alt 'P 1'
_space_group_IT_number 1
_space_group_name_Hall 'P 1'
_cell_length_a 4.938
_cell_length_b 4.938
_cell_length_c 4.938
_cell_angle_alpha 90.00
_cell_angle_beta 90.00
_cell_angle_gamma 90.00
loop_
_atom_site_label
_atom_site_type_symbol
_atom_site_fract_x
_atom_site_fract_y
_atom_site_fract_z
Y1 Y 0.000 0.000 0.000
Nb1 Nb 0.000 0.000 0.500
Nb2 Nb 0.000 0.500 0.000
Nb3 Nb 0.500 0.000 0.000
Ge1 Ge 0.500 0.500 0.500
```


Which structure loses on stability? <2> does.